Below is crystalline KSrAsI6 at its relaxed geometry, with properties calculated at the PBE level.

Summary:
- Formation energy without anion corrections: -945 meV/atom
- D(E_F): 0.00 states/eV/cell
- Space-group type: P312, No. 149

```
9
Lattice="8.067 0.000 0.000 -4.033 6.986 0.000 0.000 0.000 7.635" Properties=species:S:1:pos:R:3 pbc="T T T"
K 0.000 0.000 0.000
Sr 4.033 2.329 3.818
As 0.000 4.657 3.818
I -1.255 2.676 2.095
I -2.344 4.561 5.540
I 1.255 2.676 5.540
I -1.088 6.735 2.095
I 2.344 4.561 2.095
I 1.088 6.735 5.540
```